Density functional theory data (GGA+U) for crystalline FeSeO at its relaxed geometry.

For the calculated density, the calculation gives 5.3 g/cm3. For the total moment, the calculation gives 16.00 μB/cell. The raw total energy comes out at -63.66 eV for the cell shown.

The space group is P2_1/c (No. 14) and the conventional cell measures 5.9316, 5.6937 and 5.7413 Å, with angles of 90.00, 101.20 and 90.00 degrees. Symmetry generates all atoms from Fe at (0.1932, 0.0328, 0.2302), Se at (0.3212, 0.5833, 0.1749) and O at (0.1459, 0.1070, 0.8478).